# 1
## TbPr6Sm2Ho3 (GGA-PBE)

Data for crystalline TbPr6Sm2Ho3 at its relaxed geometry.

Properties
As for the crystal system: monoclinic. The density of states at the Fermi level comes out at 13.94 states/eV per cell. The energy comes out at -4.69 eV per atom. As for the mass density: 7.33 g/cm³.

Cell: 6.3266 6.3266 11.9497 Å, 95.05 95.05 120.01°
Atoms (fractional coordinates):
Pr: 0.5829 0.9158 0.7477
Pr: 0.4171 0.0842 0.2523
Pr: 0.0842 0.4171 0.2523
Pr: 0.9158 0.5829 0.7477
Pr: 0.7512 0.7512 0.2524
Pr: 0.2488 0.2488 0.7476
Ho: 0.1666 0.8334 0.5000
Ho: 0.8334 0.1666 0.5000
Ho: 0.5000 0.5000 0.5000
Tb: 0.0000 0.0000 0.0000
Sm: 0.6667 0.3333 0.0000
Sm: 0.3333 0.6667 0.0000

***

# 2
## Tb2Pr3Sm6Ho (GGA-PBE)

Data for crystalline Tb2Pr3Sm6Ho at its relaxed geometry.

Properties
As for the crystal system: monoclinic. The density of states at the Fermi level comes out at 17.11 states/eV per cell. The energy comes out at -4.69 eV per atom. As for the mass density: 7.39 g/cm³.

Cell: 6.2923 6.2923 12.0364 Å, 95.01 95.01 120.00°
Atoms (fractional coordinates):
Tb: 0.3334 0.6666 0.0000
Tb: 0.6666 0.3334 0.0000
Sm: 0.5849 0.9180 0.7547
Sm: 0.7489 0.7489 0.2455
Sm: 0.0820 0.4151 0.2453
Sm: 0.4151 0.0820 0.2453
Sm: 0.2511 0.2511 0.7545
Sm: 0.9180 0.5849 0.7547
Pr: 0.8333 0.1667 0.5000
Pr: 0.5000 0.5000 0.5000
Pr: 0.1667 0.8333 0.5000
Ho: 0.0000 0.0000 0.0000

***

# 3
## Tb4Pr2Sm2Ho (GGA-PBE)

Data for crystalline Tb4Pr2Sm2Ho at its relaxed geometry.

Properties
As for the crystal system: monoclinic. The density of states at the Fermi level comes out at 11.89 states/eV per cell. The energy comes out at -4.67 eV per atom. As for the mass density: 7.67 g/cm³.

Cell: 3.6384 9.6119 9.6726 Å, 115.20 90.00 100.91°
Atoms (fractional coordinates):
Ho: 0.0000 0.0000 0.0000
Tb: 0.8150 0.6300 0.6645
Tb: 0.4809 0.9619 0.6678
Tb: 0.1850 0.3700 0.3355
Tb: 0.5191 0.0381 0.3322
Pr: 0.3350 0.6700 0.9997
Pr: 0.6650 0.3300 0.0003
Sm: 0.1470 0.2939 0.6628
Sm: 0.8530 0.7061 0.3372

***

# 4
## Tb3PrSmHo (GGA-PBE)

Data for crystalline Tb3PrSmHo at its relaxed geometry.

Properties
As for the crystal system: monoclinic. The density of states at the Fermi level comes out at 16.93 states/eV per cell. The energy comes out at -4.46 eV per atom. As for the mass density: 7.80 g/cm³.

Cell: 5.6797 10.4018 6.9920 Å, 90.06 90.00 105.84°
Atoms (fractional coordinates):
Ho: 0.0557 0.1114 0.2610
Ho: 0.9443 0.8886 0.7390
Pr: 0.6451 0.2901 0.0304
Pr: 0.3549 0.7099 0.9696
Tb: 0.4778 0.9555 0.2566
Tb: 0.8390 0.6779 0.2605
Tb: 0.7793 0.5586 0.7536
Tb: 0.1610 0.3221 0.7395
Tb: 0.2207 0.4414 0.2464
Tb: 0.5222 0.0445 0.7434
Sm: 0.6473 0.2947 0.4606
Sm: 0.3527 0.7053 0.5394

***

# 5
## Tb6Pr2Sm3Ho (GGA-PBE)

Data for crystalline Tb6Pr2Sm3Ho at its relaxed geometry.

Properties
As for the crystal system: monoclinic. The density of states at the Fermi level comes out at 14.94 states/eV per cell. The energy comes out at -4.66 eV per atom. As for the mass density: 7.78 g/cm³.

Cell: 6.2366 6.2366 11.9137 Å, 95.00 95.00 119.98°
Atoms (fractional coordinates):
Tb: 0.4158 0.0834 0.2507
Tb: 0.5842 0.9166 0.7493
Tb: 0.0834 0.4158 0.2507
Tb: 0.2487 0.2487 0.7489
Tb: 0.7513 0.7513 0.2511
Tb: 0.9166 0.5842 0.7493
Ho: 0.0000 0.0000 0.0000
Pr: 0.3336 0.6664 0.0000
Pr: 0.6664 0.3336 0.0000
Sm: 0.8333 0.1667 0.5000
Sm: 0.5000 0.5000 0.5000
Sm: 0.1667 0.8333 0.5000

***

# 6
## Tb2PrSm2Ho (GGA-PBE)

Data for crystalline Tb2PrSm2Ho at its relaxed geometry.

Properties
As for the crystal system: orthorhombic. The density of states at the Fermi level comes out at 19.37 states/eV per cell. The energy comes out at -4.41 eV per atom. As for the mass density: 7.58 g/cm³.

Cell: 3.4182 6.6446 17.8352 Å, 90.00 90.00 90.00°
Atoms (fractional coordinates):
Tb: 0.5000 0.7276 0.6821
Tb: 0.0000 0.7724 0.1821
Tb: 0.5000 0.2724 0.3179
Tb: 0.0000 0.2276 0.8179
Sm: 0.5000 0.7771 0.3499
Sm: 0.0000 0.2771 0.1501
Sm: 0.0000 0.7229 0.8499
Sm: 0.5000 0.2229 0.6501
Ho: 0.5000 0.5000 0.0000
Ho: 0.0000 0.0000 0.5000
Pr: 0.5000 0.5000 0.5000
Pr: 0.0000 0.0000 0.0000

***

# 7
## Tb2PrSmHo2 (GGA-PBE)

Data for crystalline Tb2PrSmHo2 at its relaxed geometry.

Properties
As for the crystal system: orthorhombic. The density of states at the Fermi level comes out at 19.55 states/eV per cell. The energy comes out at -4.38 eV per atom. As for the mass density: 7.75 g/cm³.

Cell: 3.4057 6.5865 17.9322 Å, 90.00 90.00 90.00°
Atoms (fractional coordinates):
Ho: 0.0000 0.2784 0.1492
Ho: 0.5000 0.7784 0.3508
Ho: 0.5000 0.2216 0.6492
Ho: 0.0000 0.7216 0.8508
Tb: 0.5000 0.7238 0.6861
Tb: 0.0000 0.7762 0.1861
Tb: 0.5000 0.2762 0.3139
Tb: 0.0000 0.2238 0.8139
Pr: 0.0000 0.0000 0.0000
Pr: 0.5000 0.5000 0.5000
Sm: 0.5000 0.5000 0.0000
Sm: 0.0000 0.0000 0.5000

***

# 8
## TbPr2Sm4Ho (GGA-PBE)

Data for crystalline TbPr2Sm4Ho at its relaxed geometry.

Properties
As for the crystal system: monoclinic. The density of states at the Fermi level comes out at 11.52 states/eV per cell. The energy comes out at -4.69 eV per atom. As for the mass density: 7.42 g/cm³.

Cell: 5.1391 5.1218 11.4736 Å, 63.39 90.00 90.00°
Atoms (fractional coordinates):
Sm: 0.0000 0.2487 0.2510
Sm: 0.5000 0.7502 0.2501
Sm: 0.5000 0.2498 0.7499
Sm: 0.0000 0.7513 0.7490
Ho: 0.0000 0.5000 0.5000
Pr: 0.5000 0.0000 0.5000
Pr: 0.0000 0.0000 0.0000
Tb: 0.5000 0.5000 0.0000

***

# 9
## TbPr2Sm2Ho4 (GGA-PBE)

Data for crystalline TbPr2Sm2Ho4 at its relaxed geometry.

Properties
As for the crystal system: monoclinic. The density of states at the Fermi level comes out at 12.24 states/eV per cell. The energy comes out at -4.66 eV per atom. As for the mass density: 7.86 g/cm³.

Cell: 3.6266 9.5779 9.6375 Å, 115.23 90.00 100.91°
Atoms (fractional coordinates):
Ho: 0.1850 0.3700 0.3365
Ho: 0.5195 0.0391 0.3331
Ho: 0.8150 0.6300 0.6635
Ho: 0.4805 0.9609 0.6669
Sm: 0.8532 0.7064 0.3381
Sm: 0.1468 0.2936 0.6619
Pr: 0.3348 0.6697 0.9989
Pr: 0.6652 0.3303 0.0011
Tb: 0.0000 0.0000 0.0000

***

# 10
## TbPr4SmHo2 (GGA-PBE)

Data for crystalline TbPr4SmHo2 at its relaxed geometry.

Properties
As for the crystal system: orthorhombic. The density of states at the Fermi level comes out at 10.63 states/eV per cell. The energy comes out at -4.69 eV per atom. As for the mass density: 7.35 g/cm³.

Cell: 5.1885 5.1587 11.3879 Å, 63.05 90.00 90.00°
Atoms (fractional coordinates):
Pr: 0.5000 0.2514 0.7487
Pr: 0.5000 0.7486 0.2513
Pr: 0.0000 0.7505 0.7493
Pr: 0.0000 0.2495 0.2507
Tb: 0.0000 0.5000 0.5000
Ho: 0.5000 0.0000 0.5000
Ho: 0.0000 0.0000 0.0000
Sm: 0.5000 0.5000 0.0000

***

# 11
## TbPr4Sm2Ho (GGA-PBE)

Data for crystalline TbPr4Sm2Ho at its relaxed geometry.

Properties
As for the crystal system: monoclinic. The density of states at the Fermi level comes out at 10.86 states/eV per cell. The energy comes out at -4.71 eV per atom. As for the mass density: 7.18 g/cm³.

Cell: 5.1984 5.1691 11.4651 Å, 63.12 90.00 90.00°
Atoms (fractional coordinates):
Pr: 0.0000 0.2486 0.2510
Pr: 0.5000 0.7497 0.2502
Pr: 0.0000 0.7514 0.7490
Pr: 0.5000 0.2503 0.7498
Sm: 0.0000 0.0000 0.0000
Sm: 0.5000 0.0000 0.5000
Tb: 0.5000 0.5000 0.0000
Ho: 0.0000 0.5000 0.5000

***

# 12
## Tb4PrSm2Ho2 (GGA-PBE)

Data for crystalline Tb4PrSm2Ho2 at its relaxed geometry.

Properties
As for the crystal system: monoclinic. The density of states at the Fermi level comes out at 11.76 states/eV per cell. The energy comes out at -4.65 eV per atom. As for the mass density: 7.95 g/cm³.

Cell: 3.6192 9.5480 9.6116 Å, 115.15 90.00 100.93°
Atoms (fractional coordinates):
Sm: 0.1480 0.2961 0.6672
Sm: 0.8520 0.7039 0.3328
Tb: 0.1854 0.3709 0.3340
Tb: 0.5191 0.0381 0.3340
Tb: 0.4809 0.9619 0.6660
Tb: 0.8146 0.6291 0.6660
Ho: 0.6680 0.3361 0.0019
Ho: 0.3320 0.6639 0.9981
Pr: 0.0000 0.0000 0.0000

***

# 13
## TbPr5Sm2Ho (GGA-PBE)

Data for crystalline TbPr5Sm2Ho at its relaxed geometry.

Properties
As for the crystal system: tetragonal. The density of states at the Fermi level comes out at 29.89 states/eV per cell. The energy comes out at -4.44 eV per atom. As for the mass density: 6.97 g/cm³.

Cell: 8.7230 8.7230 10.3586 Å, 114.90 114.90 90.00°
Atoms (fractional coordinates):
Pr: 0.5000 0.5000 0.0000
Pr: 0.0000 0.0000 0.0000
Pr: 0.0714 0.5714 0.7159
Pr: 0.1445 0.0714 0.7159
Pr: 0.6445 0.1445 0.7159
Pr: 0.8555 0.9286 0.2841
Pr: 0.4286 0.3555 0.2841
Pr: 0.9286 0.4286 0.2841
Pr: 0.5714 0.6445 0.7159
Pr: 0.3555 0.8555 0.2841
Sm: 0.1204 0.3796 0.0000
Sm: 0.8796 0.6204 0.0000
Sm: 0.6204 0.1204 0.0000
Sm: 0.3796 0.8796 0.0000
Tb: 0.2500 0.2500 0.5000
Tb: 0.7500 0.7500 0.5000
Ho: 0.7500 0.2500 0.5000
Ho: 0.2500 0.7500 0.5000

***

# 14
## Tb2Pr5SmHo (GGA-PBE)

Data for crystalline Tb2Pr5SmHo at its relaxed geometry.

Properties
As for the crystal system: orthorhombic. The density of states at the Fermi level comes out at 28.25 states/eV per cell. The energy comes out at -4.58 eV per atom. As for the mass density: 7.01 g/cm³.

Cell: 5.6983 10.7078 10.7826 Å, 90.00 90.00 105.43°
Atoms (fractional coordinates):
Ho: 0.5922 0.1844 0.9622
Ho: 0.4078 0.8156 0.4622
Pr: 0.9847 0.9694 0.5185
Pr: 0.7044 0.4087 0.2041
Pr: 0.2956 0.5913 0.7041
Pr: 0.4822 0.9643 0.7445
Pr: 0.5178 0.0357 0.2445
Pr: 0.7202 0.4404 0.8115
Pr: 0.6128 0.2257 0.5233
Pr: 0.0153 0.0306 0.0185
Pr: 0.3872 0.7743 0.0233
Pr: 0.2798 0.5596 0.3115
Tb: 0.1119 0.2238 0.7382
Tb: 0.8881 0.7762 0.2382
Tb: 0.8843 0.7686 0.8120
Tb: 0.1157 0.2314 0.3120
Sm: 0.1996 0.3993 0.0097
Sm: 0.8004 0.6007 0.5097

***

# 15
## Tb2Pr4SmHo (GGA-PBE)

Data for crystalline Tb2Pr4SmHo at its relaxed geometry.

Properties
As for the crystal system: monoclinic. The density of states at the Fermi level comes out at 10.65 states/eV per cell. The energy comes out at -4.69 eV per atom. As for the mass density: 7.28 g/cm³.

Cell: 5.1928 5.1603 11.4189 Å, 63.09 90.00 90.00°
Atoms (fractional coordinates):
Tb: 0.0000 0.0000 0.0000
Tb: 0.5000 0.0000 0.5000
Pr: 0.0000 0.2481 0.2515
Pr: 0.5000 0.2521 0.7483
Pr: 0.5000 0.7479 0.2517
Pr: 0.0000 0.7519 0.7485
Sm: 0.5000 0.5000 0.0000
Ho: 0.0000 0.5000 0.5000

***

# 16
## TbPr2Sm2Ho2 (GGA-PBE)

Data for crystalline TbPr2Sm2Ho2 at its relaxed geometry.

Properties
As for the crystal system: trigonal. The density of states at the Fermi level comes out at 16.35 states/eV per cell. The energy comes out at -4.55 eV per atom. As for the mass density: 7.57 g/cm³.

Cell: 5.7581 5.7581 8.8363 Å, 70.98 70.98 60.00°
Atoms (fractional coordinates):
Pr: 0.1382 0.1382 0.5853
Pr: 0.8618 0.8618 0.4147
Sm: 0.2820 0.2820 0.1540
Sm: 0.7180 0.7180 0.8460
Ho: 0.5741 0.5741 0.2777
Ho: 0.4259 0.4259 0.7223
Tb: 0.0000 0.0000 0.0000

***

# 17
## TbPrSmHo (GGA-PBE)

Data for crystalline TbPrSmHo at its relaxed geometry.

Properties
As for the crystal system: cubic. The density of states at the Fermi level comes out at 8.10 states/eV per cell. The calculation puts the energy above the lowest structure with this stoichiometry at 103 meV/atom. The energy comes out at -4.55 eV per atom. As for the mass density: 7.64 g/cm³.

Cell: 5.7394 5.7394 5.7394 Å, 60.00 60.00 60.00°
Atoms (fractional coordinates):
Pr: 0.7500 0.7500 0.7500
Tb: 0.0000 0.0000 0.0000
Sm: 0.2500 0.2500 0.2500
Ho: 0.5000 0.5000 0.5000

***

# 18
## Tb2Pr2SmHo4 (GGA-PBE)

Data for crystalline Tb2Pr2SmHo4 at its relaxed geometry.

Properties
As for the crystal system: monoclinic. The density of states at the Fermi level comes out at 12.28 states/eV per cell. The energy comes out at -4.65 eV per atom. As for the mass density: 7.97 g/cm³.

Cell: 3.6178 9.5569 9.6060 Å, 115.21 90.00 100.91°
Atoms (fractional coordinates):
Sm: 0.0000 0.0000 0.0000
Tb: 0.1469 0.2938 0.6619
Tb: 0.8531 0.7062 0.3381
Pr: 0.3341 0.6683 0.9999
Pr: 0.6659 0.3317 0.0001
Ho: 0.4804 0.9608 0.6641
Ho: 0.1858 0.3716 0.3373
Ho: 0.5196 0.0392 0.3359
Ho: 0.8142 0.6284 0.6627

***

# 19
## Tb2PrSm5Ho (GGA-PBE)

Data for crystalline Tb2PrSm5Ho at its relaxed geometry.

Properties
As for the crystal system: orthorhombic. The density of states at the Fermi level comes out at 28.02 states/eV per cell. The energy comes out at -4.54 eV per atom. As for the mass density: 7.42 g/cm³.

Cell: 5.6583 10.5225 10.7373 Å, 90.00 90.00 105.60°
Atoms (fractional coordinates):
Sm: 0.9830 0.9661 0.5241
Sm: 0.6063 0.2125 0.5251
Sm: 0.7016 0.4032 0.2048
Sm: 0.5210 0.0420 0.2409
Sm: 0.4790 0.9580 0.7409
Sm: 0.0170 0.0339 0.0241
Sm: 0.2984 0.5968 0.7048
Sm: 0.7183 0.4365 0.8068
Sm: 0.2817 0.5635 0.3068
Sm: 0.3937 0.7875 0.0251
Ho: 0.4116 0.8233 0.4570
Ho: 0.5884 0.1767 0.9570
Tb: 0.8839 0.7678 0.8198
Tb: 0.1161 0.2322 0.3198
Tb: 0.8901 0.7802 0.2362
Tb: 0.1099 0.2198 0.7362
Pr: 0.2027 0.4055 0.0092
Pr: 0.7973 0.5945 0.5092

***

# 20
## Tb2Pr2SmHo2 (GGA-PBE)

Data for crystalline Tb2Pr2SmHo2 at its relaxed geometry.

Properties
As for the crystal system: monoclinic. The density of states at the Fermi level comes out at 11.86 states/eV per cell. The energy comes out at -4.52 eV per atom. As for the mass density: 7.55 g/cm³.

Cell: 3.5070 6.0651 11.9212 Å, 101.49 90.00 106.80°
Atoms (fractional coordinates):
Ho: 0.3453 0.6906 0.9287
Ho: 0.6547 0.3094 0.0713
Pr: 0.4086 0.8172 0.2223
Pr: 0.5914 0.1828 0.7777
Tb: 0.7042 0.4083 0.3701
Tb: 0.2958 0.5917 0.6299
Sm: 0.0000 0.0000 0.5000

***

# 21
## Tb3Pr6Sm2Ho (GGA-PBE)

Data for crystalline Tb3Pr6Sm2Ho at its relaxed geometry.

Properties
As for the crystal system: monoclinic. The density of states at the Fermi level comes out at 14.74 states/eV per cell. The energy comes out at -4.70 eV per atom. As for the mass density: 7.24 g/cm³.

Cell: 6.3353 6.3353 11.9853 Å, 95.04 95.04 120.01°
Atoms (fractional coordinates):
Pr: 0.5835 0.9161 0.7492
Pr: 0.4165 0.0839 0.2508
Pr: 0.0839 0.4165 0.2508
Pr: 0.9161 0.5835 0.7492
Pr: 0.2490 0.2490 0.7488
Pr: 0.7510 0.7510 0.2512
Sm: 0.3333 0.6667 0.0000
Sm: 0.6667 0.3333 0.0000
Tb: 0.8335 0.1665 0.5000
Tb: 0.5000 0.5000 0.5000
Tb: 0.1665 0.8335 0.5000
Ho: 0.0000 0.0000 0.0000

***

# 22
## Tb6PrSm2Ho3 (GGA-PBE)

Data for crystalline Tb6PrSm2Ho3 at its relaxed geometry.

Properties
As for the crystal system: monoclinic. The density of states at the Fermi level comes out at 15.62 states/eV per cell. The energy comes out at -4.63 eV per atom. As for the mass density: 8.10 g/cm³.

Cell: 6.1920 6.1920 11.8472 Å, 94.98 94.98 119.98°
Atoms (fractional coordinates):
Tb: 0.0853 0.4191 0.2537
Tb: 0.9147 0.5809 0.7463
Tb: 0.4191 0.0853 0.2537
Tb: 0.5809 0.9147 0.7463
Tb: 0.2485 0.2485 0.7463
Tb: 0.7515 0.7515 0.2537
Ho: 0.1668 0.8332 0.5000
Ho: 0.5000 0.5000 0.5000
Ho: 0.8332 0.1668 0.5000
Sm: 0.6666 0.3334 0.0000
Sm: 0.3334 0.6666 0.0000
Pr: 0.0000 0.0000 0.0000